[1]
A relaxed Li5Cu2Rh crystal, computed with PBE-GGA.

- calculated formation energy (eV per formula unit) = -0.4

Cell lengths 7.925, 10.696, 2.638 Å; angles 90.00, 90.00, 90.00 degrees
Space group Pbam (No. 55)
Inequivalent atoms, fractional coordinates:
Li 0.000 0.000 0.000 [2 per cell]
Li 0.001 0.253 0.000 [4 per cell]
Li 0.231 0.620 0.500 [4 per cell]
Cu 0.242 0.379 0.500 [4 per cell]
Rh 0.000 0.500 0.000 [2 per cell]

***

[2]
A relaxed LiCu2Rh crystal, computed with PBE-GGA.

- calculated formation energy (eV per formula unit) = 0.1

Cell lengths 2.6450, 2.6450, 26.1587 Å; angles 90.00, 90.00, 120.00 degrees
Space group R-3m (No. 166, hexagonal axes)
Inequivalent atoms, fractional coordinates:
Li 0.0000 0.0000 0.0000 [3 per cell]
Cu 0.0000 0.0000 0.2503 [6 per cell]
Rh 0.0000 0.0000 0.5000 [3 per cell]

***

[3]
A relaxed Li6CuRh5 crystal, computed with PBE-GGA.

- calculated formation energy (eV per formula unit) = -2.4

Cell lengths 4.618, 8.000, 8.780 Å; angles 90.00, 100.13, 90.00 degrees
Space group C2/m (No. 12)
Inequivalent atoms, fractional coordinates:
Li 0.245 0.000 0.249 [4 per cell]
Li 0.249 0.169 0.752 [8 per cell]
Cu 0.000 0.500 0.000 [2 per cell]
Rh 0.000 0.000 0.500 [2 per cell]
Rh 0.000 0.167 0.000 [4 per cell]
Rh 0.000 0.334 0.500 [4 per cell]

***

[4]
A relaxed Li4CuRh crystal, computed with PBE-GGA.

- calculated formation energy (eV per formula unit) = 0.0

Cell lengths 5.680, 5.680, 5.192 Å; angles 90.00, 90.00, 90.00 degrees
Space group I-4 (No. 82)
Inequivalent atoms, fractional coordinates:
Li 0.148 0.249 0.123 [8 per cell]
Cu 0.000 0.500 0.750 [2 per cell]
Rh 0.000 0.000 0.500 [2 per cell]

***

[5]
A relaxed LiCu2Rh2 crystal, computed with PBE-GGA.

- calculated formation energy (eV per formula unit) = 0.5

Cell lengths 7.415, 7.415, 2.652 Å; angles 90.00, 90.00, 90.00 degrees
Space group P4/mbm (No. 127)
Inequivalent atoms, fractional coordinates:
Li 0.000 0.000 0.000 [2 per cell]
Cu 0.170 0.330 0.500 [4 per cell]
Rh 0.128 0.628 0.000 [4 per cell]

***

[6]
A relaxed LiCu2Rh crystal, computed with PBE-GGA.

- calculated formation energy (eV per formula unit) = -0.4

Cell lengths 4.256, 4.256, 2.839 Å; angles 90.00, 90.00, 90.00 degrees
Space group P4/mmm (No. 123)
Inequivalent atoms, fractional coordinates:
Li 0.000 0.000 0.000 [1 per cell]
Cu 0.000 0.500 0.500 [2 per cell]
Rh 0.500 0.500 0.000 [1 per cell]

***

[7]
A relaxed Li7Cu2Rh crystal, computed with PBE-GGA.

- calculated formation energy (eV per formula unit) = 1.1

Cell lengths 8.956, 14.081, 2.581 Å; angles 90.00, 90.00, 90.00 degrees
Space group Cmmm (No. 65)
Inequivalent atoms, fractional coordinates:
Li 0.000 0.000 0.000 [2 per cell]
Li 0.000 0.317 0.500 [4 per cell]
Li 0.234 0.402 0.000 [8 per cell]
Cu 0.000 0.166 0.000 [4 per cell]
Rh 0.000 0.500 0.500 [2 per cell]

***

[8]
A relaxed Li3CuRh crystal, computed with PBE-GGA.

- calculated formation energy (eV per formula unit) = 1.7

Cell lengths 4.7344, 4.7344, 11.8965 Å; angles 90.00, 90.00, 120.00 degrees
Space group R3m (No. 160, hexagonal axes)
Inequivalent atoms, fractional coordinates:
Li 0.0014 0.5007 0.0000 [9 per cell]
Cu 0.0000 0.0000 0.4967 [3 per cell]
Rh 0.0000 0.0000 0.1414 [3 per cell]

***

[9]
A relaxed LiCu2Rh crystal, computed with PBE-GGA.

- calculated formation energy (eV per formula unit) = -0.1

Cell lengths 2.536, 4.085, 5.036 Å; angles 90.00, 103.43, 90.00 degrees
Space group P2/m (No. 10)
Inequivalent atoms, fractional coordinates:
Li 0.000 0.000 0.000 [1 per cell]
Cu 0.419 0.500 0.246 [2 per cell]
Rh 0.000 0.000 0.500 [1 per cell]

***

[10]
A relaxed Li4Cu5Rh2 crystal, computed with PBE-GGA.

- calculated formation energy (eV per formula unit) = -0.7

Cell lengths 8.628, 5.036, 6.750 Å; angles 90.00, 93.68, 90.00 degrees
Space group C2/m (No. 12)
Inequivalent atoms, fractional coordinates:
Li 0.127 0.000 0.101 [4 per cell]
Li 0.170 0.000 0.460 [4 per cell]
Cu 0.000 0.500 0.500 [2 per cell]
Cu 0.126 0.250 0.784 [8 per cell]
Rh 0.121 0.500 0.144 [4 per cell]

***

[11]
A relaxed Li8Cu6Rh crystal, computed with PBE-GGA.

- calculated formation energy (eV per formula unit) = -0.4

Cell lengths 6.4615, 6.4615, 17.7248 Å; angles 90.00, 90.00, 120.00 degrees
Space group R-3 (No. 148, hexagonal axes)
Inequivalent atoms, fractional coordinates:
Li 0.0000 0.0000 0.1675 [6 per cell]
Li 0.0561 0.4473 0.2345 [18 per cell]
Cu 0.0358 0.2384 0.7045 [18 per cell]
Rh 0.0000 0.0000 0.0000 [3 per cell]

***

[12]
A relaxed Li2Cu5Rh2 crystal, computed with PBE-GGA.

- calculated formation energy (eV per formula unit) = -0.3

Cell lengths 4.201, 4.822, 6.537 Å; angles 82.26, 71.58, 65.12 degrees
Space group P-1 (No. 2)
Inequivalent atoms, fractional coordinates:
Li 0.174 0.321 0.330 [2 per cell]
Cu 0.295 0.534 0.876 [2 per cell]
Cu 0.382 0.782 0.454 [2 per cell]
Cu 0.500 0.000 0.000 [1 per cell]
Rh 0.048 0.118 0.786 [2 per cell]

***

Question: What is the calculated formation energy in the ninth record?
Answer: -0.1 eV per formula unit